DFT (PBE-GGA) results for LiVSe3 after structural relaxation.

Polymorph energy (0 for the lowest one) (eV/f.u.): 0.52
E_form (uncorrected) (eV/atom): -0.6393
Space group: C2/m (12)

abc: 7.1518 7.1518 7.7948
angles: 105.58 105.58 39.68
Fractional coordinates of all 10 atoms:
Li1 0.1298 0.1298 0.2502
Li2 0.8702 0.8702 0.7498
V1 0.3482 0.3482 0.1499
V2 0.6518 0.6518 0.8501
Se1 0.1706 0.1706 0.9388
Se2 0.3338 0.3338 0.4286
Se3 0.4606 0.4606 0.8350
Se4 0.5394 0.5394 0.1650
Se5 0.6662 0.6662 0.5714
Se6 0.8294 0.8294 0.0612


DFT (PBE-GGA) results for Pm4In3Ni after structural relaxation.

Polymorph energy (0 for the lowest one) (eV/f.u.): 0.00
Calculated formation energy (kJ/mol of atoms): -41
Space group: P4/mmm (123)

abc: 3.5940 3.5940 16.4929
angles: 90.00 90.00 90.00
Fractional coordinates of all 8 atoms:
Pm1 0.0000 0.0000 0.1009
Pm2 0.0000 0.0000 0.3669
Pm3 0.0000 0.0000 0.6331
Pm4 0.0000 0.0000 0.8991
In1 0.5000 0.5000 0.2351
In2 0.5000 0.5000 0.5000
In3 0.5000 0.5000 0.7649
Ni1 0.5000 0.5000 0.0000


DFT (PBE-GGA) results for TaSbRh2 after structural relaxation.

E_form (uncorrected) (eV/atom): 0.2434
Space group: I-42d (122)

abc: 7.2160 7.2160 7.2160
angles: 133.51 133.51 67.86
Fractional coordinates of all 8 atoms:
Ta1 0.0000 0.0000 0.0000
Ta2 0.7500 0.2500 0.5000
Sb1 0.2500 0.7500 0.5000
Sb2 0.5000 0.5000 0.0000
Rh1 0.1100 0.6250 0.9850
Rh2 0.3750 0.3600 0.4850
Rh3 0.6400 0.1250 0.0150
Rh4 0.8750 0.8900 0.5150


DFT (PBE-GGA) results for MgCoW2 after structural relaxation.

Calculated formation energy (kJ/mol of atoms): 36
Space group: Cm (8)

abc: 5.0874 5.0874 4.9549
angles: 111.64 111.64 31.18
Fractional coordinates of all 4 atoms:
Mg1 0.0000 0.0000 0.0000
Co1 0.2604 0.2604 0.9075
W1 0.5613 0.5613 0.5445
W2 0.7874 0.7874 0.3597


DFT (PBE-GGA) results for Sr2TlB after structural relaxation.

Polymorph energy (0 for the lowest one) (eV/f.u.): 0.48
Calculated formation energy (kJ/mol of atoms): 51
Space group: I-42d (122)

abc: 7.0156 7.0156 7.0156
angles: 106.34 106.34 115.94
Fractional coordinates of all 8 atoms:
Sr1 0.0582 0.6250 0.9332
Sr2 0.3750 0.3082 0.4332
Sr3 0.6918 0.1250 0.0668
Sr4 0.8750 0.9418 0.5668
Tl1 0.2500 0.7500 0.5000
Tl2 0.5000 0.5000 0.0000
B1 0.0000 0.0000 0.0000
B2 0.7500 0.2500 0.5000


DFT (PBE-GGA) results for SmBe2F8 after structural relaxation.

E_form (uncorrected) (eV/atom): -3.1274
Space group: C2/m (12)

abc: 5.5101 5.5101 5.9898
angles: 110.87 110.87 48.47
Fractional coordinates of all 11 atoms:
Sm1 0.0000 0.0000 0.0000
Be1 0.2087 0.2087 0.6759
Be2 0.7913 0.7913 0.3241
F1 0.1145 0.6324 0.2281
F2 0.1640 0.1640 0.4015
F3 0.3676 0.8855 0.7719
F4 0.3734 0.3734 0.8296
F5 0.6266 0.6266 0.1704
F6 0.6324 0.1145 0.2281
F7 0.8360 0.8360 0.5985
F8 0.8855 0.3676 0.7719


DFT (PBE-GGA) results for BaLi2MgHg2 after structural relaxation.

Calculated formation energy (kJ/mol of atoms): -34
Space group: P-3m1 (164)

abc: 4.8274 4.8274 7.7338
angles: 90.00 90.00 120.00
Fractional coordinates of all 6 atoms:
Ba1 0.0000 0.0000 0.0000
Li1 0.3333 0.6667 0.6638
Li2 0.6667 0.3333 0.3362
Mg1 0.0000 0.0000 0.5000
Hg1 0.3333 0.6667 0.3075
Hg2 0.6667 0.3333 0.6925


DFT (PBE-GGA) results for Li2BiIO6 after structural relaxation.

E_form (uncorrected) (eV/atom): -1.1258
Space group: R-3 (148)

abc: 6.0584 6.0584 6.0584
angles: 51.54 51.54 51.54
Fractional coordinates of all 10 atoms:
Li1 0.1961 0.1961 0.1961
Li2 0.8039 0.8039 0.8039
Bi1 0.0000 0.0000 0.0000
I1 0.5000 0.5000 0.5000
O1 0.1384 0.7391 0.4181
O2 0.2609 0.5819 0.8616
O3 0.4181 0.1384 0.7391
O4 0.5819 0.8616 0.2609
O5 0.7391 0.4181 0.1384
O6 0.8616 0.2609 0.5819


DFT (PBE-GGA) results for Ac3H12Pt5 after structural relaxation.

Raw total energy (eV per atom): -4.45
Space group: Ia-3d (230)

abc: 10.8576 10.8576 10.8576
angles: 109.47 109.47 109.47
Fractional coordinates of all 80 atoms:
Ac1 0.1250 0.2500 0.3750
Ac2 0.1250 0.3750 0.7500
Ac3 0.2500 0.3750 0.1250
Ac4 0.2500 0.8750 0.6250
Ac5 0.3750 0.1250 0.2500
Ac6 0.3750 0.7500 0.1250
Ac7 0.6250 0.2500 0.8750
Ac8 0.6250 0.8750 0.7500
Ac9 0.7500 0.1250 0.3750
Ac10 0.7500 0.6250 0.8750
Ac11 0.8750 0.6250 0.2500
Ac12 0.8750 0.7500 0.6250
H1 0.0136 0.6810 0.0977
H2 0.0136 0.8326 0.9159
H3 0.0833 0.6674 0.6810
H4 0.0833 0.9159 0.4023
H5 0.0841 0.5977 0.9167
H6 0.0841 0.9864 0.1674
H7 0.0977 0.0136 0.6810
H8 0.0977 0.5841 0.4167
H9 0.1674 0.0841 0.9864
H10 0.1674 0.5833 0.1810
H11 0.1810 0.1674 0.5833
H12 0.1810 0.5136 0.5977
H13 0.3190 0.9023 0.9864
H14 0.3190 0.9167 0.3326
H15 0.3326 0.3190 0.9167
H16 0.3326 0.5136 0.4159
H17 0.4023 0.0833 0.9159
H18 0.4023 0.8190 0.4864
H19 0.4159 0.3326 0.5136
H20 0.4159 0.5833 0.9023
H21 0.4167 0.0977 0.5841
H22 0.4167 0.8190 0.8326
H23 0.4864 0.4023 0.8190
H24 0.4864 0.5841 0.6674
H25 0.5136 0.4159 0.3326
H26 0.5136 0.5977 0.1810
H27 0.5833 0.1810 0.1674
H28 0.5833 0.9023 0.4159
H29 0.5841 0.4167 0.0977
H30 0.5841 0.6674 0.4864
H31 0.5977 0.1810 0.5136
H32 0.5977 0.9167 0.0841
H33 0.6674 0.4864 0.5841
H34 0.6674 0.6810 0.0833
H35 0.6810 0.0833 0.6674
H36 0.6810 0.0977 0.0136
H37 0.8190 0.4864 0.4023
H38 0.8190 0.8326 0.4167
H39 0.8326 0.4167 0.8190
H40 0.8326 0.9159 0.0136
H41 0.9023 0.4159 0.5833
H42 0.9023 0.9864 0.3190
H43 0.9159 0.0136 0.8326
H44 0.9159 0.4023 0.0833
H45 0.9167 0.0841 0.5977
H46 0.9167 0.3326 0.3190
H47 0.9864 0.1674 0.0841
H48 0.9864 0.3190 0.9023
Pt1 0.0000 0.0000 0.0000
Pt2 0.0000 0.0000 0.5000
Pt3 0.0000 0.5000 0.0000
Pt4 0.0000 0.5000 0.5000
Pt5 0.1250 0.7500 0.8750
Pt6 0.1250 0.8750 0.2500
Pt7 0.2500 0.1250 0.8750
Pt8 0.2500 0.6250 0.3750
Pt9 0.3750 0.2500 0.6250
Pt10 0.3750 0.6250 0.7500
Pt11 0.5000 0.0000 0.0000
Pt12 0.5000 0.0000 0.5000
Pt13 0.5000 0.5000 0.0000
Pt14 0.5000 0.5000 0.5000
Pt15 0.6250 0.3750 0.2500
Pt16 0.6250 0.7500 0.3750
Pt17 0.7500 0.3750 0.6250
Pt18 0.7500 0.8750 0.1250
Pt19 0.8750 0.1250 0.7500
Pt20 0.8750 0.2500 0.1250


DFT (PBE-GGA) results for Tc4W after structural relaxation.

Polymorph energy (0 for the lowest one) (eV/f.u.): 0.00
Calculated formation energy (kJ/mol of atoms): 71
Space group: I4/mmm (139)

abc: 6.1907 6.1907 6.1907
angles: 143.67 143.67 52.32
Fractional coordinates of all 5 atoms:
Tc1 0.1035 0.1035 0.0000
Tc2 0.2500 0.7500 0.5000
Tc3 0.7500 0.2500 0.5000
Tc4 0.8965 0.8965 0.0000
W1 0.5000 0.5000 0.0000


DFT (PBE-GGA) results for KRb3Cd3 after structural relaxation.

Polymorph energy (0 for the lowest one) (eV/f.u.): 1.92
Calculated formation energy (kJ/mol of atoms): 24
Space group: Pm-3n (223)

abc: 10.1458 10.1458 10.1458
angles: 90.00 90.00 90.00
Fractional coordinates of all 14 atoms:
K1 0.0000 0.0000 0.0000
K2 0.5000 0.5000 0.5000
Rb1 0.0000 0.2500 0.5000
Rb2 0.0000 0.7500 0.5000
Rb3 0.2500 0.5000 0.0000
Rb4 0.5000 0.0000 0.2500
Rb5 0.5000 0.0000 0.7500
Rb6 0.7500 0.5000 0.0000
Cd1 0.0000 0.5000 0.2500
Cd2 0.0000 0.5000 0.7500
Cd3 0.2500 0.0000 0.5000
Cd4 0.5000 0.2500 0.0000
Cd5 0.5000 0.7500 0.0000
Cd6 0.7500 0.0000 0.5000


DFT (PBE-GGA) results for K3PmEr2S6 after structural relaxation.

E_form (uncorrected) (eV/atom): -1.8780
Space group: C2/m (12)

abc: 7.0441 7.0441 7.7388
angles: 98.74 98.74 119.99
Fractional coordinates of all 12 atoms:
K1 0.0000 0.0000 0.0000
K2 0.3343 0.6657 0.0000
K3 0.6657 0.3343 0.0000
Pm1 0.5000 0.5000 0.5000
Er1 0.1668 0.8332 0.5000
Er2 0.8332 0.1668 0.5000
S1 0.0907 0.4326 0.2980
S2 0.2253 0.2253 0.7020
S3 0.4326 0.0907 0.2980
S4 0.5674 0.9093 0.7020
S5 0.7747 0.7747 0.2980
S6 0.9093 0.5674 0.7020


Please write out number 11 again, unchanged.
DFT (PBE-GGA) results for KRb3Cd3 after structural relaxation.

Polymorph energy (0 for the lowest one) (eV/f.u.): 1.92
Calculated formation energy (kJ/mol of atoms): 24
Space group: Pm-3n (223)

abc: 10.1458 10.1458 10.1458
angles: 90.00 90.00 90.00
Fractional coordinates of all 14 atoms:
K1 0.0000 0.0000 0.0000
K2 0.5000 0.5000 0.5000
Rb1 0.0000 0.2500 0.5000
Rb2 0.0000 0.7500 0.5000
Rb3 0.2500 0.5000 0.0000
Rb4 0.5000 0.0000 0.2500
Rb5 0.5000 0.0000 0.7500
Rb6 0.7500 0.5000 0.0000
Cd1 0.0000 0.5000 0.2500
Cd2 0.0000 0.5000 0.7500
Cd3 0.2500 0.0000 0.5000
Cd4 0.5000 0.2500 0.0000
Cd5 0.5000 0.7500 0.0000
Cd6 0.7500 0.0000 0.5000